This record from Alexandria describes a relaxed CrBSbO5 crystal. The functional is PBE+U.

a b c (Å): 6.3605 8.2633 6.8689
angles (deg): 90.00 113.13 90.00
With the nearest neighbours (Å) after each atom.
Space group C2/c (No. 15)
Symmetry-distinct sites (fractional):
1 Cr 0.0000 0.0000 0.0000  6 O 1.88-2.03
2 B 0.0000 0.3241 0.2500  4 O 1.51
3 Sb 0.0000 0.3382 0.7500  3 O 2.04-2.20
4 O 0.0000 0.0918 0.7500  2 Cr 1.88, 1 Sb 2.04
5 O 0.1035 0.2213 0.1288  1 B 1.51
6 O 0.1681 0.4372 0.4069  1 B 1.51

Summary:
The energy is -0.520 Ry/atom. The calculation puts the calculated volume at 10.38 Å³/atom. The total magnetic moment comes out at 8.36 μB/cell. As for the mass density: 5293 kg/m3. The calculation puts the density of states at the Fermi level at 1.8 states/eV/f.u.